[1]
A crystal of BaSrCa2 relaxed with PBEsol. Source: the Alexandria database, functional meta-GGA SCAN.

The structure belongs to space group R3m (No. 160, hexagonal axes); the cell edges are 4.0575, 4.0575 and 39.7541 Å and the angles 90.00°, 90.00° and 120.00°. Symmetry generates all atoms from Ba at (0.0000, 0.0000, 0.0000), Sr at (0.0000, 0.0000, 0.2435), Ca at (0.0000, 0.0000, 0.4948) and Ca at (0.0000, 0.0000, 0.7513).

The electronic total energy is -242.92 eV for the cell shown. Its density of states at the Fermi level is 1.040 states/eV/atom. Its calculated formation energy is 0.045 eV/atom. As for the crystal system: trigonal.

[2]
A crystal of BaSrCa2 relaxed with PBEsol. Source: the Alexandria database, functional meta-GGA SCAN.

The structure belongs to space group P4/mmm (No. 123); the cell edges are 4.1043, 4.1043 and 11.3469 Å and the angles 90.00°, 90.00° and 90.00°. Symmetry generates all atoms from Ba at (0.0000, 0.0000, 0.0000), Sr at (0.0000, 0.0000, 0.5000) and Ca at (0.5000, 0.5000, 0.2575).

The electronic total energy is -81.00 eV for the cell shown. Its density of states at the Fermi level is 1.099 states/eV/atom. Its calculated formation energy is 0.037 eV/atom. As for the crystal system: tetragonal.

[3]
A crystal of BaSrCa2 relaxed with PBEsol. Source: the Alexandria database, functional meta-GGA SCAN.

The structure belongs to space group F-43m (No. 216); the cell edges are 9.0706, 9.0706 and 9.0706 Å and the angles 90.00°, 90.00° and 90.00°. Symmetry generates all atoms from Ba at (0.0000, 0.0000, 0.0000), Sr at (0.2500, 0.2500, 0.2500), Ca at (0.0000, 0.0000, 0.5000) and Ca at (0.2500, 0.2500, 0.7500).

The electronic total energy is -323.99 eV for the cell shown. Its density of states at the Fermi level is 1.036 states/eV/atom. Its calculated formation energy is 0.039 eV/atom. As for the crystal system: cubic.

[4]
A crystal of BaSrCa2 relaxed with PBEsol. Source: the Alexandria database, functional meta-GGA SCAN.

The structure belongs to space group Immm (No. 71); the cell edges are 4.6791, 6.3457 and 12.6125 Å and the angles 90.00°, 90.00° and 90.00°. Symmetry generates all atoms from Ba at (0.0000, 0.0000, 0.0000), Sr at (0.0000, 0.0000, 0.5000) and Ca at (0.0000, 0.5000, 0.2470).

The electronic total energy is -161.92 eV for the cell shown. Its density of states at the Fermi level is 0.965 states/eV/atom. Its calculated formation energy is 0.048 eV/atom. As for the crystal system: orthorhombic.

[5]
A crystal of BaSrCa relaxed with PBEsol. Source: the Alexandria database, functional meta-GGA SCAN.

The structure belongs to space group Fmm2 (No. 42); the cell edges are 4.7952, 6.4268 and 19.2137 Å and the angles 90.00°, 90.00° and 90.00°. Symmetry generates all atoms from Ba at (0.0000, 0.0000, 0.0000), Sr at (0.0000, 0.0000, 0.3248) and Ca at (0.0000, 0.0000, 0.6638).

The electronic total energy is -285.49 eV for the cell shown. Its density of states at the Fermi level is 1.090 states/eV/atom. Its calculated formation energy is 0.039 eV/atom. As for the crystal system: orthorhombic.

[6]
A crystal of BaSrCa4 relaxed with PBEsol. Source: the Alexandria database, functional meta-GGA SCAN.

The structure belongs to space group F-43m (No. 216); the cell edges are 10.4382, 10.4382 and 10.4382 Å and the angles 90.00°, 90.00° and 90.00°. Symmetry generates all atoms from Ba at (0.0000, 0.0000, 0.0000), Sr at (0.2500, 0.2500, 0.2500) and Ca at (0.1248, 0.1248, 0.6248).

The electronic total energy is -401.50 eV for the cell shown. Its density of states at the Fermi level is 0.950 states/eV/atom. Its calculated formation energy is 0.017 eV/atom. As for the crystal system: cubic.

[7]
A crystal of BaSrCa2 relaxed with PBEsol. Source: the Alexandria database, functional meta-GGA SCAN.

The structure belongs to space group P2/m (No. 10); the cell edges are 3.9196, 6.3600 and 7.6147 Å and the angles 90.00°, 101.17° and 90.00°. Symmetry generates all atoms from Ba at (0.0000, 0.0000, 0.0000), Sr at (0.5000, 0.0000, 0.5000) and Ca at (0.2516, 0.5000, 0.7482).

The electronic total energy is -80.98 eV for the cell shown. Its density of states at the Fermi level is 0.970 states/eV/atom. Its calculated formation energy is 0.044 eV/atom. As for the crystal system: monoclinic.

[8]
A crystal of BaSrCa relaxed with PBEsol. Source: the Alexandria database, functional meta-GGA SCAN.

The structure belongs to space group I4mm (No. 107); the cell edges are 4.2066, 4.2066 and 17.0902 Å and the angles 90.00°, 90.00° and 90.00°. Symmetry generates all atoms from Ba at (0.0000, 0.0000, 0.0000), Sr at (0.0000, 0.0000, 0.3199) and Ca at (0.0000, 0.0000, 0.6641).

The electronic total energy is -142.77 eV for the cell shown. Its density of states at the Fermi level is 1.080 states/eV/atom. Its calculated formation energy is 0.034 eV/atom. As for the crystal system: tetragonal.